Here is a geometry-optimized RbPt2O structure from the Alexandria database. Energies are from GGA-PBEsol.

## Properties
SG: I4_1/amd (141)
E_tot, eV for the cell shown: -83.8
Formation energy from raw total energies, eV per atom: -0.18

Lattice parameters (Å, degrees): 5.418 5.418 11.815 90.00 90.00 90.00
Fractional coordinates of all 16 atoms:
Rb  0.000  0.250  0.375
Rb  0.000  0.750  0.625
Rb  0.500  0.250  0.125
Rb  0.500  0.750  0.875
Pt  0.000  0.000  0.000
Pt  0.000  0.500  0.000
Pt  0.250  0.250  0.750
Pt  0.250  0.750  0.250
Pt  0.500  0.000  0.500
Pt  0.500  0.500  0.500
Pt  0.750  0.250  0.750
Pt  0.750  0.750  0.250
O  0.000  0.250  0.875
O  0.000  0.750  0.125
O  0.500  0.250  0.625
O  0.500  0.750  0.375



Here is a geometry-optimized PtRhO3 structure from the Alexandria database. Energies are from GGA-PBEsol.

## Properties
SG: Pm-3m (221)
E_tot, eV for the cell shown: -28.9
Formation energy from raw total energies, eV per atom: 0.40

Lattice parameters (Å, degrees): 3.831 3.831 3.831 90.00 90.00 90.00
Fractional coordinates of all 5 atoms:
Pt  0.000  0.000  0.000
Rh  0.500  0.500  0.500
O  0.000  0.500  0.500
O  0.500  0.000  0.500
O  0.500  0.500  0.000



Here is a geometry-optimized RuPtO2 structure from the Alexandria database. Energies are from GGA-PBEsol.

## Properties
SG: I-42d (122)
E_tot, eV for the cell shown: -106.5
Formation energy from raw total energies, eV per atom: 0.25

Lattice parameters (Å, degrees): 4.892 4.892 8.846 90.00 90.00 90.00
Fractional coordinates of all 16 atoms:
Ru  0.000  0.000  0.000
Ru  0.000  0.500  0.250
Ru  0.500  0.000  0.750
Ru  0.500  0.500  0.500
Pt  0.000  0.000  0.500
Pt  0.000  0.500  0.750
Pt  0.500  0.000  0.250
Pt  0.500  0.500  0.000
O  0.206  0.250  0.125
O  0.250  0.706  0.375
O  0.250  0.794  0.875
O  0.294  0.250  0.625
O  0.706  0.750  0.625
O  0.750  0.206  0.875
O  0.750  0.294  0.375
O  0.794  0.750  0.125



Here is a geometry-optimized SnPtSO2 structure from the Alexandria database. Energies are from GGA-PBEsol.

## Properties
SG: P4/mmm (123)
E_tot, eV for the cell shown: -27.1
Formation energy from raw total energies, eV per atom: -0.20

Lattice parameters (Å, degrees): 3.989 3.989 4.718 90.00 90.00 90.00
Fractional coordinates of all 5 atoms:
Sn  0.000  0.000  0.000
Pt  0.500  0.500  0.500
S  0.500  0.500  0.000
O  0.000  0.500  0.500
O  0.500  0.000  0.500



Here is a geometry-optimized Sb2TePtO structure from the Alexandria database. Energies are from GGA-PBEsol.

## Properties
Excess energy over the best structure of this formula in the dataset, meV/atom: 679
SG: P4/mmm (123)
E_tot, eV for the cell shown: -20.6
Formation energy from raw total energies, eV per atom: 0.86

Lattice parameters (Å, degrees): 5.127 5.127 5.355 90.00 90.00 90.00
Fractional coordinates of all 5 atoms:
Sb  0.000  0.500  0.000
Sb  0.500  0.000  0.000
Te  0.000  0.000  0.500
Pt  0.000  0.000  0.000
O  0.500  0.500  0.500



Here is a geometry-optimized Sb2TePtO structure from the Alexandria database. Energies are from GGA-PBEsol.

## Properties
Excess energy over the best structure of this formula in the dataset, meV/atom: 0
SG: P4/mmm (123)
E_tot, eV for the cell shown: -24.0
Formation energy from raw total energies, eV per atom: 0.18

Lattice parameters (Å, degrees): 4.604 4.604 4.748 90.00 90.00 90.00
Fractional coordinates of all 5 atoms:
Sb  0.000  0.500  0.000
Sb  0.500  0.000  0.000
Te  0.000  0.000  0.500
Pt  0.500  0.500  0.500
O  0.000  0.000  0.000



Here is a geometry-optimized Sc3PtO structure from the Alexandria database. Energies are from GGA-PBEsol.

## Properties
SG: Pm-3m (221)
E_tot, eV for the cell shown: -40.8
Formation energy from raw total energies, eV per atom: -1.76

Lattice parameters (Å, degrees): 4.283 4.283 4.283 90.00 90.00 90.00
Fractional coordinates of all 5 atoms:
Sc  0.000  0.000  0.500
Sc  0.000  0.500  0.000
Sc  0.500  0.000  0.000
Pt  0.500  0.500  0.500
O  0.000  0.000  0.000



Here is a geometry-optimized ScPtO2 structure from the Alexandria database. Energies are from GGA-PBEsol.

## Properties
SG: Fm-3m (225)
E_tot, eV for the cell shown: -114.3
Formation energy from raw total energies, eV per atom: -1.12

Lattice parameters (Å, degrees): 5.605 5.605 5.605 90.00 90.00 90.00
Fractional coordinates of all 16 atoms:
Sc  0.000  0.000  0.000
Sc  0.000  0.500  0.500
Sc  0.500  0.000  0.500
Sc  0.500  0.500  0.000
Pt  0.000  0.000  0.500
Pt  0.000  0.500  0.000
Pt  0.500  0.000  0.000
Pt  0.500  0.500  0.500
O  0.250  0.250  0.250
O  0.250  0.250  0.750
O  0.250  0.750  0.250
O  0.250  0.750  0.750
O  0.750  0.250  0.250
O  0.750  0.250  0.750
O  0.750  0.750  0.250
O  0.750  0.750  0.750